[1]
## Li5Tl2Sn (PBE-GGA)

Data for a geometry-optimized Li5Tl2Sn structure.

Cell: 4.7913 4.7913 7.5621 Å, 108.47 108.47 90.00°
Closest atoms and distances in Å follow each position.
Sites, in units of the cell vectors:
Li (0.8826, 0.3826, 0.7652)  2 Sn 2.87, 3 Li 2.87-3.18, 4 Tl 2.94-3.04
Li (0.6174, 0.1174, 0.2348)  2 Sn 2.87, 3 Li 2.87-3.18, 4 Tl 2.94-3.04
Li (0.3826, 0.8826, 0.7652)  3 Li 2.87-3.18, 2 Sn 2.87, 4 Tl 2.94-3.04
Li (0.5000, 0.5000, 0.0000)  8 Li 2.87
Li (0.1174, 0.6174, 0.2348)  2 Sn 2.87, 3 Li 2.87-3.18, 4 Tl 2.94-3.04
Sn (0.0000, 0.0000, 0.0000)  8 Li 2.87
Tl (0.7441, 0.7441, 0.4882)  8 Li 2.94-3.04
Tl (0.2559, 0.2559, 0.5118)  8 Li 2.94-3.04

- N(E_F) (states/eV per cell) = 2.76
- total magnetization (μB/atom) = 0.000
- space group = No. 139
- E_tot (eV/cell) = -20.6

***

[2]
## MgSn2Ir2 (PBE-GGA)

Data for a geometry-optimized MgSn2Ir2 structure.

Cell: 4.5077 4.5077 5.4850 Å, 90.01 90.01 60.00°
Closest atoms and distances in Å follow each position.
Sites, in units of the cell vectors:
Ir (0.8334, 0.3334, 0.1734)  5 Sn 2.70-2.79, 3 Mg 2.77
Ir (0.1666, 0.6666, 0.8266)  5 Sn 2.70-2.79, 3 Mg 2.77
Mg (0.5000, 0.0000, 0.0000)  6 Ir 2.77
Sn (0.8333, 0.3333, 0.6654)  5 Ir 2.70-2.79
Sn (0.1667, 0.6667, 0.3346)  5 Ir 2.70-2.79

- N(E_F) (states/eV per cell) = 1.23
- total magnetization (μB/atom) = 0.000
- space group = No. 164
- energy above the lowest structure with this stoichiometry (eV per formula unit) = 0.00